Record 1
Ba2FeCuSb: relaxed, PBE.

Spin magnetization ... 0.6236 μB/atom
Electronic total energy ... -3.81 eV/atom

a b c (Å): 6.2152 6.2152 4.7592
angles (deg): 90.00 90.00 90.00
Last column: nearest neighbours and their distance in Å.
Element x y z (fractional)
1 Ba 0.0000 0.5000 0.0000  2 Cu 3.11
2 Ba 0.5000 0.0000 0.0000  2 Cu 3.11
3 Fe 0.0000 0.0000 0.5000  8 Ba 3.91
4 Cu 0.5000 0.5000 0.0000  2 Sb 2.38
5 Sb 0.5000 0.5000 0.5000  2 Cu 2.38



Record 2
BaY2FeCu: relaxed, PBE.

Spin magnetization ... 0.0000 μB/atom
DFT formation energy ... 0.45 eV per atom

a b c (Å): 5.1537 5.1537 5.6214
angles (deg): 90.00 90.00 90.00
Last column: nearest neighbours and their distance in Å.
Element x y z (fractional)
1 Ba 0.0000 0.0000 0.0000  2 Fe 2.81
2 Y 0.0000 0.5000 0.5000  2 Fe 2.58
3 Y 0.5000 0.0000 0.5000  2 Fe 2.58
4 Fe 0.0000 0.0000 0.5000  4 Y 2.58, 2 Ba 2.81
5 Cu 0.5000 0.5000 0.0000  4 Ba 3.64, 8 Y 3.81



Record 3
Ba2ZnFeCu: relaxed, PBE.

Spin magnetization ... 0.5211 μB/atom
DFT formation energy ... 0.52 eV per atom

a b c (Å): 6.0319 6.0319 4.6561
angles (deg): 90.00 90.00 90.00
Last column: nearest neighbours and their distance in Å.
Element x y z (fractional)
1 Ba 0.0000 0.5000 0.0000  2 Cu 3.02
2 Ba 0.5000 0.0000 0.0000  2 Cu 3.02
3 Zn 0.0000 0.0000 0.5000  2 Cu 2.33
4 Fe 0.5000 0.5000 0.5000  8 Ba 3.81, 4 Zn 4.27
5 Cu 0.0000 0.0000 0.0000  2 Zn 2.33



Record 4
BaGa2Cu4: relaxed, PBE.

Spin magnetization ... 0.0000 μB/atom
DFT formation energy ... 0.87 eV per atom

a b c (Å): 7.7290 7.7290 7.7290
angles (deg): 139.62 139.62 58.43
Last column: nearest neighbours and their distance in Å.
Element x y z (fractional)
1 Ba 0.0000 0.0000 0.0000  4 Cu 2.67
2 Ga 0.4097 0.4097 0.0000  1 Cu 2.32, 1 Ga 2.44
3 Ga 0.5903 0.5903 0.0000  1 Cu 2.32, 1 Ga 2.44
4 Cu 0.0000 0.5000 0.5000  2 Ba 2.67, 4 Ga 2.93
5 Cu 0.2374 0.2374 0.0000  1 Ga 2.32
6 Cu 0.5000 0.0000 0.5000  2 Ba 2.67, 4 Ga 2.93
7 Cu 0.7626 0.7626 0.0000  1 Ga 2.32



Record 5
Ba3Ga2Cu4: relaxed, PBE.

Spin magnetization ... 0.0000 μB/atom
DFT formation energy ... -0.17 eV per atom

a b c (Å): 6.2448 6.2448 9.2211
angles (deg): 100.53 100.53 41.31
Last column: nearest neighbours and their distance in Å.
Element x y z (fractional)
1 Ba 0.0000 0.0000 0.0000  8 Cu 3.22-3.54
2 Ba 0.3854 0.3854 0.6128  6 Cu 3.33-3.52, 2 Ga 3.58-3.64, 1 Ba 3.70
3 Ba 0.6146 0.6146 0.3872  6 Cu 3.33-3.52, 2 Ga 3.58-3.64, 1 Ba 3.70
4 Ga 0.3130 0.3130 0.2104  5 Cu 2.49-2.61
5 Ga 0.6870 0.6870 0.7896  5 Cu 2.49-2.61
6 Cu 0.1162 0.1162 0.6812  2 Ga 2.49, 1 Cu 2.55
7 Cu 0.2589 0.2589 0.9290  3 Ga 2.55-2.61, 3 Cu 2.55-2.59
8 Cu 0.7411 0.7411 0.0710  3 Ga 2.55-2.61, 3 Cu 2.55-2.59
9 Cu 0.8838 0.8838 0.3188  2 Ga 2.49, 1 Cu 2.55



Record 6
BaGaCu2: relaxed, PBE.

Spin magnetization ... 0.0000 μB/atom
DFT formation energy ... -0.08 eV per atom

a b c (Å): 9.0439 9.0439 9.0439
angles (deg): 147.95 147.95 45.96
Last column: nearest neighbours and their distance in Å.
Element x y z (fractional)
1 Ba 0.3750 0.6250 0.7500  8 Cu 3.48, 4 Ga 3.53
2 Ba 0.6250 0.3750 0.2500  8 Cu 3.48, 4 Ga 3.53
3 Ga 0.1250 0.8750 0.2500  4 Cu 2.43
4 Ga 0.8750 0.1250 0.7500  4 Cu 2.43
5 Cu 0.0000 0.0000 0.0000  2 Ga 2.43, 2 Cu 2.50
6 Cu 0.0000 0.0000 0.5000  2 Ga 2.43, 2 Cu 2.50
7 Cu 0.0000 0.5000 0.0000  2 Ga 2.43, 2 Cu 2.50
8 Cu 0.5000 0.0000 0.5000  2 Ga 2.43, 2 Cu 2.50



Record 7
Ba2Ga3Cu5: relaxed, PBE.

Spin magnetization ... 0.0000 μB/atom
DFT formation energy ... -0.15 eV per atom

a b c (Å): 8.7511 8.7511 8.7511
angles (deg): 104.96 89.74 138.28
Last column: nearest neighbours and their distance in Å.
Element x y z (fractional)
1 Ba 0.1282 0.2366 0.3648  10 Cu 3.28-3.49, 7 Ga 3.41-3.59
2 Ba 0.3718 0.7366 0.1084  10 Cu 3.28-3.49, 7 Ga 3.41-3.59
3 Ba 0.6282 0.2634 0.8916  10 Cu 3.28-3.49, 7 Ga 3.41-3.59
4 Ba 0.8718 0.7634 0.6352  10 Cu 3.28-3.49, 7 Ga 3.41-3.59
5 Ga 0.1358 0.9005 0.0364  5 Cu 2.53-2.82
6 Ga 0.2500 0.7500 0.5000  6 Cu 2.56-2.77
7 Ga 0.3642 0.4005 0.7647  5 Cu 2.53-2.82
8 Ga 0.6358 0.5995 0.2353  5 Cu 2.53-2.82
9 Ga 0.7500 0.2500 0.5000  6 Cu 2.56-2.77
10 Ga 0.8642 0.0995 0.9636  5 Cu 2.53-2.82
11 Cu 0.0266 0.7500 0.2766  2 Cu 2.54, 3 Ga 2.57-2.77
12 Cu 0.1133 0.6377 0.7509  2 Cu 2.54, 3 Ga 2.56-2.82
13 Cu 0.2500 0.2500 0.0000  4 Ga 2.53
14 Cu 0.3867 0.1377 0.5244  2 Cu 2.54, 3 Ga 2.56-2.82
15 Cu 0.4734 0.7500 0.7234  2 Cu 2.54, 3 Ga 2.57-2.77
16 Cu 0.5266 0.2500 0.2766  2 Cu 2.54, 3 Ga 2.57-2.77
17 Cu 0.6133 0.8623 0.4756  2 Cu 2.54, 3 Ga 2.56-2.82
18 Cu 0.7500 0.7500 0.0000  4 Ga 2.53
19 Cu 0.8867 0.3623 0.2491  2 Cu 2.54, 3 Ga 2.56-2.82
20 Cu 0.9734 0.2500 0.7234  2 Cu 2.54, 3 Ga 2.57-2.77



Record 8
BaGa2Cu3: relaxed, PBE.

Spin magnetization ... 0.0000 μB/atom
DFT formation energy ... -0.22 eV per atom

a b c (Å): 6.6320 6.6320 5.3812
angles (deg): 90.00 90.00 75.17
Last column: nearest neighbours and their distance in Å.
Element x y z (fractional)
1 Ba 0.1686 0.8314 0.7500  9 Cu 3.29-3.43, 4 Ga 3.66
2 Ba 0.8314 0.1686 0.2500  9 Cu 3.29-3.43, 4 Ga 3.66
3 Ga 0.3008 0.3008 0.0000  6 Cu 2.53-2.59, 2 Ga 2.69
4 Ga 0.3008 0.3008 0.5000  6 Cu 2.53-2.59, 2 Ga 2.69
5 Ga 0.6992 0.6992 0.0000  6 Cu 2.53-2.59, 2 Ga 2.69
6 Ga 0.6992 0.6992 0.5000  6 Cu 2.53-2.59, 2 Ga 2.69
7 Cu 0.0302 0.5758 0.2500  4 Ga 2.53-2.59, 1 Cu 2.60
8 Cu 0.4219 0.5781 0.2500  4 Ga 2.57, 2 Cu 2.60
9 Cu 0.4242 0.9698 0.2500  4 Ga 2.53-2.59, 1 Cu 2.60
10 Cu 0.5758 0.0302 0.7500  4 Ga 2.53-2.59, 1 Cu 2.60
11 Cu 0.5781 0.4219 0.7500  4 Ga 2.57, 2 Cu 2.60
12 Cu 0.9698 0.4242 0.7500  4 Ga 2.53-2.59, 1 Cu 2.60